Ag2SbAu, optimized geometry, DFT GGA-PBE; formation energy (no corrections) = 58 kJ/mol of formula units; D(E_F) = 2.1 states/eV/f.u.; crystal system = trigonal; SG = R3m (160)
1.0
3.3232 0.0000 0.0000
-1.6616 2.8780 0.0000
0.0000 0.0000 26.3393
Ag Sb Au
6 3 3
Direct
0.0000 0.0000 0.0000
0.0000 0.0000 0.2524
0.3333 0.6667 0.6667
0.3333 0.6667 0.9191
0.6667 0.3333 0.3333
0.6667 0.3333 0.5857
0.0000 0.0000 0.4967
0.3333 0.6667 0.1634
0.6667 0.3333 0.8301
0.0000 0.0000 0.7467
0.3333 0.6667 0.4134
0.6667 0.3333 0.0801